Arrangement one

DFT (PBE) results for crystalline Sm3HoHg2 at its relaxed geometry.

Summary:
Fermi-level density of states (states/eV per atom): 0.48
Space group: No. 26

Lattice parameters (Å, degrees): 5.2239 9.4417 7.0631 90.00 90.00 90.00
Sites, in units of the cell vectors:
Sm 0.0000 0.0532 0.0000
Sm 0.0000 0.3291 0.3371
Sm 0.0000 0.6709 0.8371
Sm 0.0000 0.9468 0.5000
Sm 0.5000 0.1764 0.6883
Sm 0.5000 0.8236 0.1883
Ho 0.5000 0.4469 0.0279
Ho 0.5000 0.5531 0.5279
Hg 0.0000 0.3504 0.7823
Hg 0.0000 0.6496 0.2823
Hg 0.5000 0.1519 0.2456
Hg 0.5000 0.8481 0.7456

---

Arrangement two

DFT (PBE) results for crystalline Sm3HoHg2 at its relaxed geometry.

Summary:
Fermi-level density of states (states/eV per atom): 1.23
Space group: No. 72

Lattice parameters (Å, degrees): 9.0218 9.0218 9.0218 132.88 70.85 130.36
Sites, in units of the cell vectors:
Sm 0.0227 0.7500 0.2727
Sm 0.2500 0.2500 0.0000
Sm 0.4773 0.7500 0.7273
Sm 0.5227 0.2500 0.2727
Sm 0.7500 0.7500 0.0000
Sm 0.9773 0.2500 0.7273
Ho 0.0000 0.5000 0.5000
Ho 0.5000 0.0000 0.5000
Hg 0.1381 0.2019 0.3400
Hg 0.3619 0.7019 0.0639
Hg 0.6381 0.2981 0.9361
Hg 0.8619 0.7981 0.6600

---

Relative to the most stable structure, the computed energies are arrangement one 0; arrangement two 260, all in meV/atom.

---

Arrangement one

DFT (PBE) results for crystalline SmHoTlHg at its relaxed geometry.

Summary:
Fermi-level density of states (states/eV per atom): 1.05
Space group: No. 216

Lattice parameters (Å, degrees): 7.5825 7.5825 7.5825 90.00 90.00 90.00
Sites, in units of the cell vectors:
Sm 0.0000 0.0000 0.0000
Sm 0.0000 0.5000 0.5000
Sm 0.5000 0.0000 0.5000
Sm 0.5000 0.5000 0.0000
Ho 0.0000 0.0000 0.5000
Ho 0.0000 0.5000 0.0000
Ho 0.5000 0.0000 0.0000
Ho 0.5000 0.5000 0.5000
Tl 0.2500 0.2500 0.2500
Tl 0.2500 0.7500 0.7500
Tl 0.7500 0.2500 0.7500
Tl 0.7500 0.7500 0.2500
Hg 0.2500 0.2500 0.7500
Hg 0.2500 0.7500 0.2500
Hg 0.7500 0.2500 0.2500
Hg 0.7500 0.7500 0.7500

---

Arrangement two

DFT (PBE) results for crystalline SmHoTlHg at its relaxed geometry.

Summary:
Fermi-level density of states (states/eV per atom): 1.13
Space group: No. 99

Lattice parameters (Å, degrees): 3.7831 3.7831 7.6090 90.00 90.00 90.00
Sites, in units of the cell vectors:
Sm 0.0000 0.0000 0.0000
Ho 0.0000 0.0000 0.4815
Tl 0.5000 0.5000 0.7336
Hg 0.5000 0.5000 0.2564

---

Relative to the most stable structure, the computed energies are arrangement one 5; arrangement two 0, all in meV/atom.

---

Arrangement one

DFT (PBE) results for crystalline Ho3Sn3Hg at its relaxed geometry.

Summary:
Fermi-level density of states (states/eV per atom): 0.58
Space group: No. 176

Lattice parameters (Å, degrees): 9.1545 9.1545 6.1230 90.00 90.00 120.00
Sites, in units of the cell vectors:
Ho 0.0401 0.6745 0.2500
Ho 0.3255 0.3656 0.2500
Ho 0.3656 0.0401 0.7500
Ho 0.6344 0.9599 0.2500
Ho 0.6745 0.6344 0.7500
Ho 0.9599 0.3255 0.7500
Sn 0.0340 0.6989 0.7500
Sn 0.3011 0.3351 0.7500
Sn 0.3351 0.0340 0.2500
Sn 0.6649 0.9660 0.7500
Sn 0.6989 0.6649 0.2500
Sn 0.9660 0.3011 0.2500
Hg 0.3333 0.6667 0.7500
Hg 0.6667 0.3333 0.2500

---

Arrangement two

DFT (PBE) results for crystalline Ho3Sn3Hg at its relaxed geometry.

Summary:
Fermi-level density of states (states/eV per atom): 0.56
Space group: No. 12

Lattice parameters (Å, degrees): 6.1789 6.1789 14.9666 105.45 105.45 42.60
Sites, in units of the cell vectors:
Ho 0.0098 0.0098 0.3738
Ho 0.1051 0.1051 0.9241
Ho 0.2234 0.2234 0.2249
Ho 0.7766 0.7766 0.7751
Ho 0.8949 0.8949 0.0759
Ho 0.9902 0.9902 0.6262
Sn 0.3651 0.3651 0.4596
Sn 0.3774 0.3774 0.9257
Sn 0.4898 0.4898 0.2216
Sn 0.5102 0.5102 0.7784
Sn 0.6226 0.6226 0.0743
Sn 0.6349 0.6349 0.5404
Hg 0.2786 0.2786 0.6314
Hg 0.7214 0.7214 0.3686

---

Relative to the most stable structure, the computed energies are arrangement one 240; arrangement two 0, all in meV/atom.